## CsDySb2 (PBE)

Data for a geometry-optimized CsDySb2 structure.

abc: 4.776 4.776 8.846
angles: 74.34 74.34 60.00
Fractional coordinates of all 4 atoms:
Cs1 0.500 0.500 0.500
Dy1 0.000 0.000 0.000
Sb1 0.278 0.278 0.166
Sb2 0.722 0.722 0.834

Values from the calculation:
Energy in eV per atom: -3.9133
SG: R-3m
E_form (uncorrected) in eV per atom: -0.488
Total magnetic moment in μB/atom: 0.000
Fermi-level density of states in states/eV/atom: 0.930

***

## Cs3Dy3SbSe8 (PBE)

Data for a geometry-optimized Cs3Dy3SbSe8 structure.

abc: 8.386 8.387 9.827
angles: 115.27 90.00 120.00
Fractional coordinates of all 15 atoms:
Se1 0.776 0.553 0.319
Se2 0.266 0.042 0.319
Se3 0.728 0.456 0.684
Se4 0.272 0.544 0.316
Se5 0.224 0.447 0.681
Se6 0.776 0.042 0.319
Se7 0.224 0.958 0.681
Se8 0.734 0.958 0.681
Dy1 0.000 0.500 0.500
Dy2 0.500 0.000 0.500
Dy3 0.500 0.500 0.500
Sb1 0.000 0.000 0.500
Cs1 0.000 0.500 0.000
Cs2 0.000 0.000 0.000
Cs3 0.500 0.500 0.000

Values from the calculation:
Energy in eV per atom: -4.6460
SG: R-3m
E_form (uncorrected) in eV per atom: -1.422
Total magnetic moment in μB/atom: 0.000
Fermi-level density of states in states/eV/atom: 0.144

***

## Cs2DySbTe4 (PBE)

Data for a geometry-optimized Cs2DySbTe4 structure.

abc: 9.696 9.696 9.567
angles: 119.56 119.56 89.99
Fractional coordinates of all 16 atoms:
Te1 0.190 0.729 0.959
Te2 0.229 0.690 0.459
Te3 0.229 0.271 0.039
Te4 0.771 0.729 0.539
Te5 0.810 0.271 0.041
Te6 0.771 0.729 0.961
Te7 0.771 0.310 0.541
Te8 0.229 0.271 0.461
Dy1 0.000 0.500 0.500
Dy2 0.000 0.500 0.000
Cs1 0.500 0.000 0.000
Cs2 0.500 0.000 0.500
Cs3 0.500 0.500 0.000
Cs4 0.000 0.000 0.500
Sb1 0.000 0.000 0.000
Sb2 0.500 0.500 0.500

Values from the calculation:
Energy in eV per atom: -3.7611
SG: Imma
E_form (uncorrected) in eV per atom: -0.886
Total magnetic moment in μB/atom: 0.000